Pr2SiPt: optimized geometry, PBE.

abc: 4.310 7.862 5.937
angles: 90.00 90.00 90.00
Space group Pmn2_1 (No. 31)
Symmetry-distinct sites (fractional):
Pr 0.000 0.063 0.000
Pr 0.000 0.584 0.247
Si 0.000 0.706 0.744
Pt 0.000 0.212 0.490

Values from the calculation:
Volume: 25.15 Å³/atom
ρ: 8.335 g cm⁻³
Energy: -49.15 eV per cell

=====

PrSiPt: optimized geometry, PBE.

abc: 4.573 4.573 18.289
angles: 90.00 90.00 90.00
Space group I4_1md (No. 109)
Symmetry-distinct sites (fractional):
Pr 0.000 0.000 0.000
Si 0.000 0.000 0.577
Pt 0.000 0.000 0.841

Values from the calculation:
Volume: 31.87 Å³/atom
ρ: 6.322 g cm⁻³
Energy: -69.70 eV per cell

=====

Pr2SiPt8: optimized geometry, PBE.

abc: 4.302 17.768 5.458
angles: 90.00 90.00 90.00
Space group Amm2 (No. 38)
Symmetry-distinct sites (fractional):
Pr 0.000 0.123 0.000
Si 0.500 0.000 0.269
Pt 0.000 0.000 0.491
Pt 0.000 0.201 0.502
Pt 0.500 0.000 0.852
Pt 0.500 0.111 0.497
Pt 0.500 0.249 0.756

Values from the calculation:
Volume: 18.96 Å³/atom
ρ: 14.890 g cm⁻³
Energy: -146.65 eV per cell

=====

Look up the ρ of the first one.
8.335 g cm⁻³

=====

Copy entry 3 word for word.
Pr2SiPt8: optimized geometry, PBE.

abc: 4.302 17.768 5.458
angles: 90.00 90.00 90.00
Space group Amm2 (No. 38)
Symmetry-distinct sites (fractional):
Pr 0.000 0.123 0.000
Si 0.500 0.000 0.269
Pt 0.000 0.000 0.491
Pt 0.000 0.201 0.502
Pt 0.500 0.000 0.852
Pt 0.500 0.111 0.497
Pt 0.500 0.249 0.756

Values from the calculation:
Volume: 18.96 Å³/atom
ρ: 14.890 g cm⁻³
Energy: -146.65 eV per cell